No. 1
Material: MnBPbO4
Method: DFT, GGA-PBEsol
State: relaxed

Unit cell a=5.938 b=6.503 c=8.743 alpha=90.00 beta=90.00 gamma=90.00
Site moments in Bohr magnetons follow the coordinates.
Sites, in units of the cell vectors:
Mn: 0.000 0.500 0.500  3.61
Mn: 0.500 0.500 0.500  3.61
Mn: 0.500 0.000 0.000  3.61
Mn: 0.000 0.000 0.000  3.61
B: 0.250 0.703 0.240  0.02
B: 0.250 0.203 0.260  0.02
B: 0.750 0.297 0.760  0.02
B: 0.750 0.797 0.740  0.02
Pb: 0.250 0.985 0.649  0.03
Pb: 0.250 0.485 0.851  0.03
Pb: 0.750 0.015 0.351  0.03
Pb: 0.750 0.515 0.149  0.03
O: 0.250 0.615 0.598  0.03
O: 0.250 0.115 0.902  0.03
O: 0.750 0.385 0.402  0.03
O: 0.750 0.885 0.098  0.03
O: 0.250 0.773 0.093  0.10
O: 0.250 0.273 0.407  0.10
O: 0.750 0.227 0.907  0.10
O: 0.750 0.727 0.593  0.10
O: 0.454 0.666 0.315  0.01
O: 0.046 0.166 0.185  0.01
O: 0.954 0.334 0.685  0.01
O: 0.546 0.834 0.815  0.01
O: 0.546 0.334 0.685  0.01
O: 0.954 0.834 0.815  0.01
O: 0.046 0.666 0.315  0.01
O: 0.454 0.166 0.185  0.01

## Properties
spin magnetization = 16.0 μB per cell
formation energy from raw total energies = -1801 meV/atom
mass density = 6.629 g cm⁻³
calculated total energy = -54.38 eV per formula unit

***

No. 2
Material: CsAlFeCo2
Method: DFT, GGA-PBEsol
State: relaxed

Unit cell a=4.522 b=4.522 c=4.633 alpha=90.00 beta=90.00 gamma=90.00
Site moments in Bohr magnetons follow the coordinates.
Sites, in units of the cell vectors:
Cs: 0.500 0.500 0.500  -0.01
Co: 0.000 0.500 0.000  0.89
Co: 0.500 0.000 0.000  0.89
Fe: 0.000 0.000 0.500  2.44
Al: 0.000 0.000 0.000  -0.07

## Properties
spin magnetization = 3.8 μB per cell
mass density = 5.846 g cm⁻³
calculated total energy = -22.66 eV per formula unit
energy relative to the elements = 1.3626 eV/atom